# Ca5Ac2 | Alexandria | GGA-PBE | relaxed
data_Ca5Ac2
_chemical_formula_sum 'Ca5 Ac2'
_symmetry_space_group_name_H-M 'P 1'
_symmetry_Int_Tables_number 1
_symmetry_space_group_name_Hall 'P 1'
_cell_length_a 6.228
_cell_length_b 6.228
_cell_length_c 9.578
_cell_angle_alpha 71.03
_cell_angle_beta 71.03
_cell_angle_gamma 60.00
loop_
_atom_site_label
_atom_site_type_symbol
_atom_site_fract_x
_atom_site_fract_y
_atom_site_fract_z
Ca1 Ca 0.500 0.500 0.500
Ca2 Ca 0.072 0.072 0.785
Ca3 Ca 0.928 0.928 0.215
Ca4 Ca 0.784 0.784 0.648
Ac1 Ac 0.359 0.359 0.923
Ac2 Ac 0.641 0.641 0.077
Ca5 Ca 0.216 0.216 0.352
# Energy above the most stable polymorph in this dataset: 0.033 eV per atom
# Fermi-level density of states: 7.6 states/eV/f.u.
# Formation enthalpy at 0 K: 0.04 eV per atom

# Pr2NdPa2Rh5 | Alexandria | GGA-PBE | relaxed
data_Pr2NdPa2Rh5
_chemical_formula_sum 'Pr4 Nd2 Pa4 Rh10'
_symmetry_space_group_name_H-M 'P 1'
_symmetry_Int_Tables_number 1
_symmetry_space_group_name_Hall 'P 1'
_cell_length_a 3.660
_cell_length_b 11.110
_cell_length_c 11.110
_cell_angle_alpha 90.00
_cell_angle_beta 90.00
_cell_angle_gamma 90.00
loop_
_atom_site_label
_atom_site_type_symbol
_atom_site_fract_x
_atom_site_fract_y
_atom_site_fract_z
Nd1 Nd 0.000 0.500 0.500
Pa1 Pa 0.000 0.866 0.366
Pa2 Pa 0.000 0.134 0.634
Rh1 Rh 0.500 0.713 0.451
Pr1 Pr 0.000 0.674 0.174
Pr2 Pr 0.000 0.326 0.826
Pa3 Pa 0.000 0.366 0.134
Pa4 Pa 0.000 0.634 0.866
Nd2 Nd 0.000 0.000 0.000
Rh2 Rh 0.500 0.049 0.787
Rh3 Rh 0.500 0.500 0.000
Pr3 Pr 0.000 0.826 0.674
Rh4 Rh 0.500 0.549 0.713
Rh5 Rh 0.500 0.213 0.049
Pr4 Pr 0.000 0.174 0.326
Rh6 Rh 0.500 0.000 0.500
Rh7 Rh 0.500 0.787 0.951
Rh8 Rh 0.500 0.451 0.287
Rh9 Rh 0.500 0.287 0.549
Rh10 Rh 0.500 0.951 0.213
# Fermi-level density of states: 8.9 states/eV/f.u.
# Formation enthalpy at 0 K: -0.62 eV per atom

Number 1: total moment 0.0 μB/f.u.. Number 2: total moment 0.0 μB/f.u..